Entry 1:
Density functional theory data (GGA-PBE) for a geometry-optimized Hg2RhW structure.

POSCAR file:
```
Hg2RhW
1.0
-6.8430 -5.6133 3.1590
-4.7246 -6.2818 5.1511
-6.4772 -3.9050 5.5779
Hg Rh W
2 1 1
Cartesian
-13.5832 -11.8934 10.4541 Hg
-4.4617 -3.9066 3.4339 Hg
-9.0224 -7.9000 6.9440 Rh
0.0000 0.0000 0.0000 W
```

Values from the calculation:
Energy of formation ... 0.5705 eV/atom
Excess energy over the best structure of this formula in the dataset ... 0.339 eV/atom
SG ... R-3m



Entry 2:
Density functional theory data (GGA-PBE) for a geometry-optimized PmSn4 structure.

POSCAR file:
```
PmSn4
1.0
-0.3200 0.5964 4.1865
-5.7791 0.2787 1.6665
-0.2008 -5.2811 2.8849
Pm Sn
1 4
Cartesian
0.0000 0.0000 0.0000 Pm
-1.4137 -2.6211 4.5612 Sn
-3.7498 -3.6334 6.6748 Sn
-4.8862 -1.7849 4.1766 Sn
-2.5502 -0.7727 2.0631 Sn
```

Values from the calculation:
Energy of formation ... -0.3436 eV/atom
Excess energy over the best structure of this formula in the dataset ... 0.012 eV/atom
SG ... I4/m



Entry 3:
Density functional theory data (GGA-PBE) for a geometry-optimized HfScCr2W structure.

POSCAR file:
```
HfScCr2W
1.0
4.6813 0.0000 0.0000
0.0000 5.0191 0.0000
0.0000 0.0000 4.6813
Sc Cr Hf W
1 2 1 1
Cartesian
2.3407 2.5095 2.3407 Sc
0.0000 0.0000 2.3407 Cr
2.3407 0.0000 0.0000 Cr
0.0000 2.5095 0.0000 Hf
0.0000 0.0000 0.0000 W
```

Values from the calculation:
Energy of formation ... 1.0600 eV/atom
SG ... P4/mmm



Entry 4:
Density functional theory data (GGA-PBE) for a geometry-optimized Mn2Fe6Ge structure.

POSCAR file:
```
Mn2Fe6Ge
1.0
-1.2684 2.3732 -3.5662
-6.8601 -2.1388 1.4848
2.5496 5.9223 3.5023
Mn Fe Ge
4 12 2
Cartesian
-3.0450 4.7284 2.1333 Mn
-1.5241 4.0232 -2.1430 Mn
-2.5339 1.4283 -0.7124 Mn
-4.0548 2.1334 3.5639 Mn
-3.9151 2.7170 0.9637 Fe
-2.5812 0.9237 1.9076 Fe
-1.6638 3.4396 0.4572 Fe
-2.9977 5.2329 -0.4867 Fe
-5.5444 1.1121 1.8871 Fe
-4.1052 -0.1727 0.3082 Fe
-0.0345 5.0445 -0.4662 Fe
-1.4737 6.3293 1.1128 Fe
-5.7343 -1.7776 1.2314 Fe
-7.0685 0.0158 0.2879 Fe
0.1554 7.9343 0.1896 Fe
1.4895 6.1408 1.1331 Fe
-0.1198 4.5004 2.1064 Ge
-5.4591 1.6562 -0.6855 Ge
```

Values from the calculation:
Energy of formation ... 0.1001 eV/atom
SG ... C2/m



What did the fourth record say?
Density functional theory data (GGA-PBE) for a geometry-optimized Mn2Fe6Ge structure.

POSCAR file:
```
Mn2Fe6Ge
1.0
-1.2684 2.3732 -3.5662
-6.8601 -2.1388 1.4848
2.5496 5.9223 3.5023
Mn Fe Ge
4 12 2
Cartesian
-3.0450 4.7284 2.1333 Mn
-1.5241 4.0232 -2.1430 Mn
-2.5339 1.4283 -0.7124 Mn
-4.0548 2.1334 3.5639 Mn
-3.9151 2.7170 0.9637 Fe
-2.5812 0.9237 1.9076 Fe
-1.6638 3.4396 0.4572 Fe
-2.9977 5.2329 -0.4867 Fe
-5.5444 1.1121 1.8871 Fe
-4.1052 -0.1727 0.3082 Fe
-0.0345 5.0445 -0.4662 Fe
-1.4737 6.3293 1.1128 Fe
-5.7343 -1.7776 1.2314 Fe
-7.0685 0.0158 0.2879 Fe
0.1554 7.9343 0.1896 Fe
1.4895 6.1408 1.1331 Fe
-0.1198 4.5004 2.1064 Ge
-5.4591 1.6562 -0.6855 Ge
```

Values from the calculation:
Energy of formation ... 0.1001 eV/atom
SG ... C2/m